1.
The following is a PBE-GGA calculation of a relaxed La2InSiRh6 crystal, from the Alexandria database.

Results
Formation energy (no corrections), eV per atom: -0.304
ρ, g cm⁻³: 8.3
Calculated volume, Å³ per atom: 20.70
Total magnetic moment, Bohr magnetons per cell: 0.0

The structure in CIF format:
```
data_La2InSiRh6
_symmetry_space_group_name_H-M 'C 1 2/m 1'
_symmetry_Int_Tables_number 12
_cell_length_a 11.493
_cell_length_b 6.647
_cell_length_c 6.632
_cell_angle_alpha 90.00
_cell_angle_beta 125.22
_cell_angle_gamma 90.00
loop_
_symmetry_equiv_pos_as_xyz
'x,y,z'
'-x,-y,-z'
'-x,y,-z'
'x,-y,z'
'x+1/2,y+1/2,z'
'-x+1/2,-y+1/2,-z'
'-x+1/2,y+1/2,-z'
'x+1/2,-y+1/2,z'
loop_
_atom_site_label
_atom_site_type_symbol
_atom_site_fract_x
_atom_site_fract_y
_atom_site_fract_z
La1 La 0.250 0.000 0.250
In1 In 0.000 0.000 0.500
Si1 Si 0.000 0.500 0.000
Rh1 Rh 0.000 0.266 0.234
Rh2 Rh 0.234 0.500 0.234
```

---

2.
The following is a PBE-GGA calculation of a relaxed PmRhPbO6 crystal, from the Alexandria database.

Results
Formation energy (no corrections), eV per atom: -1.315
ρ, g cm⁻³: 7.4
Calculated volume, Å³ per atom: 13.80
Total magnetic moment, Bohr magnetons per cell: 2.9

The structure in CIF format:
```
data_PmRhPbO6
_symmetry_space_group_name_H-M 'P -3 1 c'
_symmetry_Int_Tables_number 163
_symmetry_space_group_name_Hall '-P 3 2c'
_cell_length_a 5.6568
_cell_length_b 5.6568
_cell_length_c 8.9617
_cell_angle_alpha 90.00
_cell_angle_beta 90.00
_cell_angle_gamma 120.00
loop_
_atom_site_label
_atom_site_type_symbol
_atom_site_fract_x
_atom_site_fract_y
_atom_site_fract_z
Pm1 Pm 0.3333 0.6667 0.2500
Rh1 Rh 0.3333 0.6667 0.7500
Pb1 Pb 0.0000 0.0000 0.0000
O1 O 0.0447 0.3731 0.6250
```

---

3.
The following is a PBE-GGA calculation of a relaxed Y2Ag4Hg3 crystal, from the Alexandria database.

Results
Electronic total energy, eV per atom: -2.953
ρ, g cm⁻³: 9.8
Calculated volume, Å³ per atom: 22.74
Total magnetic moment, Bohr magnetons per cell: 0.0

The structure in CIF format:
```
data_Y2Ag4Hg3
_symmetry_space_group_name_H-M 'C m c e'
_symmetry_Int_Tables_number 64
_symmetry_space_group_name_Hall '-C 2ac 2'
_cell_length_a 5.909
_cell_length_b 16.838
_cell_length_c 8.230
_cell_angle_alpha 90.00
_cell_angle_beta 90.00
_cell_angle_gamma 90.00
loop_
_atom_site_label
_atom_site_type_symbol
_atom_site_fract_x
_atom_site_fract_y
_atom_site_fract_z
Y1 Y 0.000 0.098 0.105
Ag1 Ag 0.000 0.167 0.487
Ag2 Ag 0.250 0.071 0.750
Hg1 Hg 0.000 0.000 0.500
Hg2 Hg 0.250 0.244 0.750
```

---

4.
The following is a PBE-GGA calculation of a relaxed Sr3CdP3 crystal, from the Alexandria database.

Results
Electronic total energy, eV per atom: -3.970
ρ, g cm⁻³: 3.9
Calculated volume, Å³ per atom: 28.57
Total magnetic moment, Bohr magnetons per cell: 0.0

The structure in CIF format:
```
data_Sr3CdP3
_symmetry_space_group_name_H-M 'C m c e'
_symmetry_Int_Tables_number 64
_symmetry_space_group_name_Hall '-C 2ac 2'
_cell_length_a 19.040
_cell_length_b 6.658
_cell_length_c 12.619
_cell_angle_alpha 90.00
_cell_angle_beta 90.00
_cell_angle_gamma 90.00
loop_
_atom_site_label
_atom_site_type_symbol
_atom_site_fract_x
_atom_site_fract_y
_atom_site_fract_z
Sr1 Sr 0.000 0.180 0.148
Sr2 Sr 0.176 0.191 0.868
Cd1 Cd 0.086 0.000 0.500
P1 P 0.000 0.229 0.389
P2 P 0.162 0.224 0.623
```

---

5.
The following is a PBE-GGA calculation of a relaxed BaSn3P4N12 crystal, from the Alexandria database.

Results
Formation energy (no corrections), eV per atom: 0.041
ρ, g cm⁻³: 4.7
Calculated volume, Å³ per atom: 13.89
Total magnetic moment, Bohr magnetons per cell: 5.3

The structure in CIF format:
```
data_BaSn3P4N12
_symmetry_space_group_name_H-M 'R 3 2'
_symmetry_Int_Tables_number 155
_symmetry_space_group_name_Hall 'R 3 2"'
_cell_length_a 10.6469
_cell_length_b 10.6469
_cell_length_c 8.4868
_cell_angle_alpha 90.00
_cell_angle_beta 90.00
_cell_angle_gamma 120.00
loop_
_atom_site_label
_atom_site_type_symbol
_atom_site_fract_x
_atom_site_fract_y
_atom_site_fract_z
Ba1 Ba 0.0000 0.0000 0.0000
Sn1 Sn 0.0000 0.5556 0.0000
P1 P 0.0000 0.0000 0.5000
P2 P 0.0000 0.4428 0.5000
N1 N 0.0000 0.5924 0.5000
N2 N 0.0000 0.8512 0.5000
N3 N 0.0312 0.2168 0.1976
```

---

6.
The following is a PBE-GGA calculation of a relaxed Nd2PaSn crystal, from the Alexandria database.

Results
Electronic total energy, eV per atom: -5.655
ρ, g cm⁻³: 9.1
Calculated volume, Å³ per atom: 29.10
Total magnetic moment, Bohr magnetons per cell: 0.0

The structure in CIF format:
```
data_Nd2PaSn
_symmetry_space_group_name_H-M 'R -3 m'
_symmetry_Int_Tables_number 166
_symmetry_space_group_name_Hall '-R 3 2"'
_cell_length_a 3.3281
_cell_length_b 3.3281
_cell_length_c 36.4044
_cell_angle_alpha 90.00
_cell_angle_beta 90.00
_cell_angle_gamma 120.00
loop_
_atom_site_label
_atom_site_type_symbol
_atom_site_fract_x
_atom_site_fract_y
_atom_site_fract_z
Nd1 Nd 0.0000 0.0000 0.0907
Pa1 Pa 0.0000 0.0000 0.0000
Sn1 Sn 0.0000 0.0000 0.5000
```

---

7.
The following is a PBE-GGA calculation of a relaxed Pa3CrSe6 crystal, from the Alexandria database.

Results
Formation energy (no corrections), eV per atom: -1.110
ρ, g cm⁻³: 7.8
Calculated volume, Å³ per atom: 25.83
Total magnetic moment, Bohr magnetons per cell: 31.8

The structure in CIF format:
```
data_Pa3CrSe6
_symmetry_space_group_name_H-M 'C m c 21'
_symmetry_Int_Tables_number 36
_cell_length_a 11.236
_cell_length_b 13.520
_cell_length_c 6.802
_cell_angle_alpha 90.00
_cell_angle_beta 90.00
_cell_angle_gamma 90.00
loop_
_symmetry_equiv_pos_as_xyz
'x,y,z'
'-x,-y,z+1/2'
'-x,y,z'
'x,-y,z+1/2'
'x+1/2,y+1/2,z'
'-x+1/2,-y+1/2,z+1/2'
'-x+1/2,y+1/2,z'
'x+1/2,-y+1/2,z+1/2'
loop_
_atom_site_label
_atom_site_type_symbol
_atom_site_fract_x
_atom_site_fract_y
_atom_site_fract_z
Pa1 Pa 0.000 0.100 0.000
Pa2 Pa 0.171 0.402 0.108
Cr1 Cr 0.000 0.304 0.647
Se1 Se 0.000 0.267 0.282
Se2 Se 0.000 0.472 0.815
Se3 Se 0.165 0.039 0.304
Se4 Se 0.176 0.231 0.832
```

---

8.
The following is a PBE-GGA calculation of a relaxed La2GaS crystal, from the Alexandria database.

Results
Formation energy (no corrections), eV per atom: -1.281
ρ, g cm⁻³: 5.6
Calculated volume, Å³ per atom: 28.29
Total magnetic moment, Bohr magnetons per cell: 0.0

The structure in CIF format:
```
data_La2GaS
_symmetry_space_group_name_H-M 'R -3 m'
_symmetry_Int_Tables_number 166
_symmetry_space_group_name_Hall '-R 3 2"'
_cell_length_a 4.1550
_cell_length_b 4.1550
_cell_length_c 22.7080
_cell_angle_alpha 90.00
_cell_angle_beta 90.00
_cell_angle_gamma 120.00
loop_
_atom_site_label
_atom_site_type_symbol
_atom_site_fract_x
_atom_site_fract_y
_atom_site_fract_z
La1 La 0.0000 0.0000 0.2434
Ga1 Ga 0.0000 0.0000 0.0000
S1 S 0.0000 0.0000 0.5000
```

---

- Among the records above, which one has the lowest calculated volume?
  PmRhPbO6

---

- Which value of ρ does entry 6 give?
  9.1 g cm⁻³

---

- Look up the total magnetic moment of the sixth one.
  0.0 Bohr magnetons per cell

---

- ρ of number 6 (Nd2PaSn)?
  9.1 g cm⁻³